No. 1
## CsMgCo (PBE)

Data for crystalline CsMgCo at its relaxed geometry.

Values from the calculation:
total energy = -24.05 eV per cell
size of the total moment = 1.35 μB per formula unit
ρ = 4.05 g/cm³

CIF file:
```
data_CsMgCo
_chemical_formula_sum 'Cs4 Mg4 Co4'
_symmetry_space_group_name_H-M 'F -4 3 m'
_symmetry_Int_Tables_number 216
_symmetry_space_group_name_Hall 'F -4 2 3'
_cell_length_a 7.077
_cell_length_b 7.077
_cell_length_c 7.077
_cell_angle_alpha 90.00
_cell_angle_beta 90.00
_cell_angle_gamma 90.00
loop_
_atom_site_label
_atom_site_type_symbol
_atom_site_fract_x
_atom_site_fract_y
_atom_site_fract_z
_atom_site_occupancy
Cs1 Cs 0.000 0.000 0.000 1
Mg1 Mg 0.000 0.000 0.500 1
Co1 Co 0.250 0.250 0.250 1
```


No. 2
## CsMgCoMo (PBE)

Data for crystalline CsMgCoMo at its relaxed geometry.

Values from the calculation:
total energy = -54.20 eV per cell
size of the total moment = 3.96 μB per formula unit
offset from the most stable computed form = 94 meV per atom
ρ = 6.07 g/cm³

CIF file:
```
data_CsMgCoMo
_chemical_formula_sum 'Cs4 Mg4 Co4 Mo4'
_symmetry_space_group_name_H-M 'F -4 3 m'
_symmetry_Int_Tables_number 216
_symmetry_space_group_name_Hall 'F -4 2 3'
_cell_length_a 6.990
_cell_length_b 6.990
_cell_length_c 6.990
_cell_angle_alpha 90.00
_cell_angle_beta 90.00
_cell_angle_gamma 90.00
loop_
_atom_site_label
_atom_site_type_symbol
_atom_site_fract_x
_atom_site_fract_y
_atom_site_fract_z
_atom_site_occupancy
Cs1 Cs 0.000 0.000 0.000 1
Mg1 Mg 0.000 0.000 0.500 1
Co1 Co 0.250 0.250 0.750 1
Mo1 Mo 0.250 0.250 0.250 1
```


No. 3
## CsMgCoMo (PBE)

Data for crystalline CsMgCoMo at its relaxed geometry.

Values from the calculation:
total energy = -55.71 eV per cell
size of the total moment = 0.03 μB per formula unit
offset from the most stable computed form = 0 meV per atom
ρ = 6.57 g/cm³

CIF file:
```
data_CsMgCoMo
_chemical_formula_sum 'Cs4 Mg4 Co4 Mo4'
_symmetry_space_group_name_H-M 'F -4 3 m'
_symmetry_Int_Tables_number 216
_symmetry_space_group_name_Hall 'F -4 2 3'
_cell_length_a 6.807
_cell_length_b 6.807
_cell_length_c 6.807
_cell_angle_alpha 90.00
_cell_angle_beta 90.00
_cell_angle_gamma 90.00
loop_
_atom_site_label
_atom_site_type_symbol
_atom_site_fract_x
_atom_site_fract_y
_atom_site_fract_z
_atom_site_occupancy
Cs1 Cs 0.000 0.000 0.000 1
Mg1 Mg 0.250 0.250 0.750 1
Co1 Co 0.000 0.000 0.500 1
Mo1 Mo 0.250 0.250 0.250 1
```


No. 4
## CsMgCoS3 (PBE)

Data for crystalline CsMgCoS3 at its relaxed geometry.

Values from the calculation:
total energy = -105.02 eV per cell
size of the total moment = 0.00 μB per formula unit
ρ = 3.78 g/cm³

CIF file:
```
data_CsMgCoS3
_chemical_formula_sum 'Cs4 Mg4 Co4 S12'
_symmetry_space_group_name_H-M 'C m c m'
_symmetry_Int_Tables_number 63
_symmetry_space_group_name_Hall '-C 2c 2'
_cell_length_a 3.760
_cell_length_b 15.461
_cell_length_c 9.452
_cell_angle_alpha 90.00
_cell_angle_beta 90.00
_cell_angle_gamma 90.00
loop_
_atom_site_label
_atom_site_type_symbol
_atom_site_fract_x
_atom_site_fract_y
_atom_site_fract_z
_atom_site_occupancy
Cs1 Cs 0.000 0.248 0.250 1
Mg1 Mg 0.000 0.474 0.750 1
Co1 Co 0.000 0.000 0.000 1
S1 S 0.000 0.064 0.750 1
S2 S 0.000 0.404 0.528 1
```


No. 5
## CsMgCoTe3 (PBE)

Data for crystalline CsMgCoTe3 at its relaxed geometry.

Values from the calculation:
total energy = -44.31 eV per cell
size of the total moment = 0.01 μB per formula unit
ρ = 5.17 g/cm³

CIF file:
```
data_CsMgCoTe3
_chemical_formula_sum 'Cs2 Mg2 Co2 Te6'
_symmetry_space_group_name_H-M 'P 1 21/m 1'
_symmetry_Int_Tables_number 11
_symmetry_space_group_name_Hall '-P 2yb'
_cell_length_a 9.328
_cell_length_b 4.105
_cell_length_c 10.928
_cell_angle_alpha 90.00
_cell_angle_beta 113.07
_cell_angle_gamma 90.00
loop_
_atom_site_label
_atom_site_type_symbol
_atom_site_fract_x
_atom_site_fract_y
_atom_site_fract_z
_atom_site_occupancy
Cs1 Cs 0.012 0.250 0.263 1
Mg1 Mg 0.462 0.750 0.375 1
Co1 Co 0.462 0.250 0.133 1
Te1 Te 0.263 0.750 0.117 1
Te2 Te 0.323 0.750 0.569 1
Te3 Te 0.376 0.250 0.884 1
```


No. 6
## CsMgCoW (PBE)

Data for crystalline CsMgCoW at its relaxed geometry.

Values from the calculation:
total energy = -60.34 eV per cell
size of the total moment = 3.85 μB per formula unit
offset from the most stable computed form = 69 meV per atom
ρ = 7.57 g/cm³

CIF file:
```
data_CsMgCoW
_chemical_formula_sum 'Cs4 Mg4 Co4 W4'
_symmetry_space_group_name_H-M 'F -4 3 m'
_symmetry_Int_Tables_number 216
_symmetry_space_group_name_Hall 'F -4 2 3'
_cell_length_a 7.054
_cell_length_b 7.054
_cell_length_c 7.054
_cell_angle_alpha 90.00
_cell_angle_beta 90.00
_cell_angle_gamma 90.00
loop_
_atom_site_label
_atom_site_type_symbol
_atom_site_fract_x
_atom_site_fract_y
_atom_site_fract_z
_atom_site_occupancy
Cs1 Cs 0.000 0.000 0.000 1
Mg1 Mg 0.250 0.250 0.750 1
Co1 Co 0.250 0.250 0.250 1
W1 W 0.000 0.000 0.500 1
```


No. 7
## CsMgCoW (PBE)

Data for crystalline CsMgCoW at its relaxed geometry.

Values from the calculation:
total energy = -61.44 eV per cell
size of the total moment = 0.02 μB per formula unit
offset from the most stable computed form = 0 meV per atom
ρ = 8.60 g/cm³

CIF file:
```
data_CsMgCoW
_chemical_formula_sum 'Cs4 Mg4 Co4 W4'
_symmetry_space_group_name_H-M 'F -4 3 m'
_symmetry_Int_Tables_number 216
_symmetry_space_group_name_Hall 'F -4 2 3'
_cell_length_a 6.760
_cell_length_b 6.760
_cell_length_c 6.760
_cell_angle_alpha 90.00
_cell_angle_beta 90.00
_cell_angle_gamma 90.00
loop_
_atom_site_label
_atom_site_type_symbol
_atom_site_fract_x
_atom_site_fract_y
_atom_site_fract_z
_atom_site_occupancy
Cs1 Cs 0.000 0.000 0.000 1
Mg1 Mg 0.250 0.250 0.750 1
Co1 Co 0.000 0.000 0.500 1
W1 W 0.250 0.250 0.250 1
```


No. 8
## CsMgCoW (PBE)

Data for crystalline CsMgCoW at its relaxed geometry.

Values from the calculation:
total energy = -58.06 eV per cell
size of the total moment = 3.95 μB per formula unit
offset from the most stable computed form = 211 meV per atom
ρ = 7.67 g/cm³

CIF file:
```
data_CsMgCoW
_chemical_formula_sum 'Cs4 Mg4 Co4 W4'
_symmetry_space_group_name_H-M 'F -4 3 m'
_symmetry_Int_Tables_number 216
_symmetry_space_group_name_Hall 'F -4 2 3'
_cell_length_a 7.021
_cell_length_b 7.021
_cell_length_c 7.021
_cell_angle_alpha 90.00
_cell_angle_beta 90.00
_cell_angle_gamma 90.00
loop_
_atom_site_label
_atom_site_type_symbol
_atom_site_fract_x
_atom_site_fract_y
_atom_site_fract_z
_atom_site_occupancy
Cs1 Cs 0.000 0.000 0.000 1
Mg1 Mg 0.000 0.000 0.500 1
Co1 Co 0.250 0.250 0.750 1
W1 W 0.250 0.250 0.250 1
```


Question: What is the ρ in the third record?
Answer: 6.57 g/cm³